A plane-wave DFT calculation with PBE-GGA was carried out for a relaxed Li2Pr4Sb3O2 crystal.

The formation energy from raw total energies comes out at -1470 meV/atom.

It has space group I4/mmm (No. 139), with a = 4.9547 Å, b = 4.9547 Å, c = 23.7814 Å, α = 90.00°, β = 90.00° and γ = 90.00°. The asymmetric unit holds Li at (0.0000, 0.0000, 0.1957), Pr at (0.0000, 0.5000, 0.0964), Sb at (0.0000, 0.0000, 0.3166), Sb at (0.0000, 0.0000, 0.5000) and O at (0.0000, 0.0000, 0.1058).